## Ca2AcHg5 (PBE-GGA)

Data for a relaxed Ca2AcHg5 crystal.

The volume is 27.80 Å³/atom. As for the density of states at the Fermi level: 4.5 states/eV/f.u.

The space group is I4/mmm (No. 139) and the conventional cell measures 5.422, 5.422 and 15.129 Å, with angles of 90.00, 90.00 and 90.00 degrees. The distinct sites, in fractional coordinates, are Ca at (0.000, 0.000, 0.236), Ac at (0.000, 0.000, 0.500), Hg at (0.000, 0.000, 0.000) and Hg at (0.000, 0.500, 0.132).

## CaAc2Hg6 (PBE-GGA)

Data for a relaxed CaAc2Hg6 crystal.

The volume is 28.51 Å³/atom. As for the density of states at the Fermi level: 5.3 states/eV/f.u.

The space group is P6/mmm (No. 191) and the conventional cell measures 8.8540, 8.8540 and 3.7795 Å, with angles of 90.00, 90.00 and 120.00 degrees. The distinct sites, in fractional coordinates, are Ca at (0.0000, 0.0000, 0.0000), Ac at (0.3333, 0.6667, 0.0000) and Hg at (0.0000, 0.3280, 0.5000).

Calculated E_form, -0.47, -0.46 eV per atom (same order as the records).